1.
VASP calculation (PBE) on an optimized crystal structure of KCaCu2.

Lattice parameters (Å, degrees): 4.414 4.414 10.207 90.00 90.00 90.00
Space group I-4m2 (No. 119)
One atom of each set of equivalent atoms:
K  0.000  0.000  0.000 x2
Ca  0.000  0.500  0.750 x2
Cu  0.000  0.000  0.500 x2
Cu  0.000  0.500  0.250 x2

Values from the calculation:
- Formation enthalpy at 0 K: 0.397 eV/atom
- E: -2.426 eV/atom
- DOS(E_F): 0.5643 states/eV per atom
- Theoretical density: 3.4 g cm⁻³

---

2.
VASP calculation (PBE) on an optimized crystal structure of K2CaCu.

Lattice parameters (Å, degrees): 11.370 11.370 5.937 90.00 90.00 90.00
Space group I-42d (No. 122)
One atom of each set of equivalent atoms:
K  0.133  0.250  0.125 x8
Ca  0.000  0.000  0.500 x4
Cu  0.000  0.000  0.000 x4

Values from the calculation:
- Formation enthalpy at 0 K: 0.335 eV/atom
- E: -1.739 eV/atom
- DOS(E_F): 0.6999 states/eV per atom
- Theoretical density: 1.6 g cm⁻³

---

3.
VASP calculation (PBE) on an optimized crystal structure of KCaCu2.

Lattice parameters (Å, degrees): 7.189 7.189 7.189 90.00 90.00 90.00
Space group F-43m (No. 216)
One atom of each set of equivalent atoms:
K  0.000  0.000  0.000 x4
Ca  0.250  0.250  0.750 x4
Cu  0.000  0.000  0.500 x4
Cu  0.250  0.250  0.250 x4

Values from the calculation:
- Formation enthalpy at 0 K: 0.443 eV/atom
- E: -2.379 eV/atom
- DOS(E_F): 0.8416 states/eV per atom
- Theoretical density: 3.7 g cm⁻³

---

4.
VASP calculation (PBE) on an optimized crystal structure of KCaCu4.

Lattice parameters (Å, degrees): 7.646 7.646 7.646 90.00 90.00 90.00
Space group F-43m (No. 216)
One atom of each set of equivalent atoms:
K  0.000  0.000  0.000 x4
Ca  0.250  0.250  0.750 x4
Cu  0.124  0.124  0.376 x16

Values from the calculation:
- Formation enthalpy at 0 K: 0.184 eV/atom
- E: -3.064 eV/atom
- DOS(E_F): 0.7823 states/eV per atom
- Theoretical density: 5.0 g cm⁻³

---

5.
VASP calculation (PBE) on an optimized crystal structure of K2CaCu2.

Lattice parameters (Å, degrees): 7.724 7.724 5.447 90.00 90.00 90.00
Space group P4/mbm (No. 127)
One atom of each set of equivalent atoms:
K  0.168  0.332  0.000 x4
Ca  0.000  0.000  0.500 x2
Cu  0.112  0.612  0.500 x4

Values from the calculation:
- Formation enthalpy at 0 K: 0.287 eV/atom
- E: -2.191 eV/atom
- DOS(E_F): 0.2355 states/eV per atom
- Theoretical density: 2.5 g cm⁻³

---

6.
VASP calculation (PBE) on an optimized crystal structure of K2CaCu.

Lattice parameters (Å, degrees): 4.013 6.515 13.491 90.00 90.00 90.00
Space group Imm2 (No. 44)
One atom of each set of equivalent atoms:
K  0.000  0.000  0.000 x2
K  0.000  0.500  0.178 x2
Ca  0.000  0.500  0.820 x2
Cu  0.000  0.000  0.474 x2

Values from the calculation:
- Formation enthalpy at 0 K: 0.240 eV/atom
- E: -1.833 eV/atom
- DOS(E_F): 0.4299 states/eV per atom
- Theoretical density: 1.7 g cm⁻³

---

7.
VASP calculation (PBE) on an optimized crystal structure of K2CaCu.

Lattice parameters (Å, degrees): 6.957 11.128 4.376 90.00 90.00 90.00
Space group Cmmm (No. 65)
One atom of each set of equivalent atoms:
K  0.250  0.250  0.000 x4
Ca  0.000  0.000  0.500 x2
Cu  0.000  0.500  0.500 x2

Values from the calculation:
- Formation enthalpy at 0 K: 0.449 eV/atom
- E: -1.625 eV/atom
- DOS(E_F): 0.5196 states/eV per atom
- Theoretical density: 1.8 g cm⁻³

---

8.
VASP calculation (PBE) on an optimized crystal structure of K2CaCu.

Lattice parameters (Å, degrees): 5.609 5.636 10.820 90.00 90.00 90.00
Space group Cmmm (No. 65)
One atom of each set of equivalent atoms:
K  0.000  0.000  0.182 x4
Ca  0.000  0.500  0.500 x2
Cu  0.000  0.500  0.000 x2

Values from the calculation:
- Formation enthalpy at 0 K: 0.332 eV/atom
- E: -1.741 eV/atom
- DOS(E_F): 0.7622 states/eV per atom
- Theoretical density: 1.8 g cm⁻³

---

9.
VASP calculation (PBE) on an optimized crystal structure of KCaCu2.

Lattice parameters (Å, degrees): 5.386 5.386 3.528 90.00 90.00 90.00
Space group P4/mmm (No. 123)
One atom of each set of equivalent atoms:
K  0.000  0.000  0.000 x1
Ca  0.500  0.500  0.000 x1
Cu  0.000  0.500  0.500 x2

Values from the calculation:
- Formation enthalpy at 0 K: 0.278 eV/atom
- E: -2.545 eV/atom
- DOS(E_F): 0.3340 states/eV per atom
- Theoretical density: 3.3 g cm⁻³

---

10.
VASP calculation (PBE) on an optimized crystal structure of KCaCu2.

Lattice parameters (Å, degrees): 8.175 8.175 6.908 90.00 90.00 90.00
Space group I-42d (No. 122)
One atom of each set of equivalent atoms:
K  0.000  0.000  0.000 x4
Ca  0.000  0.000  0.500 x4
Cu  0.226  0.250  0.625 x8

Values from the calculation:
- Formation enthalpy at 0 K: 0.470 eV/atom
- E: -2.353 eV/atom
- DOS(E_F): 0.5684 states/eV per atom
- Theoretical density: 3.0 g cm⁻³

---

11.
VASP calculation (PBE) on an optimized crystal structure of K2CaCu2.

Lattice parameters (Å, degrees): 4.654 4.654 14.464 90.00 90.00 90.00
Space group I4/mmm (No. 139)
One atom of each set of equivalent atoms:
K  0.000  0.500  0.250 x4
Ca  0.000  0.000  0.000 x2
Cu  0.000  0.000  0.420 x4

Values from the calculation:
- Formation enthalpy at 0 K: 0.349 eV/atom
- E: -2.129 eV/atom
- DOS(E_F): 0.2989 states/eV per atom
- Theoretical density: 2.6 g cm⁻³

---

12.
VASP calculation (PBE) on an optimized crystal structure of KCaCu3.

Lattice parameters (Å, degrees): 5.499 5.499 5.499 90.00 90.00 90.00
Space group Pm-3m (No. 221)
One atom of each set of equivalent atoms:
K  0.000  0.000  0.000 x1
Ca  0.500  0.500  0.500 x1
Cu  0.000  0.500  0.500 x3

Values from the calculation:
- Formation enthalpy at 0 K: 0.695 eV/atom
- E: -2.383 eV/atom
- DOS(E_F): 0.0219 states/eV per atom
- Theoretical density: 2.7 g cm⁻³

---

13.
VASP calculation (PBE) on an optimized crystal structure of KCaCu2.

Lattice parameters (Å, degrees): 4.1892 4.1892 24.1619 90.00 90.00 120.00
Space group R-3m (No. 166, hexagonal axes)
One atom of each set of equivalent atoms:
K  0.0000  0.0000  0.0000 x3
Ca  0.0000  0.0000  0.5000 x3
Cu  0.0000  0.0000  0.2363 x6

Values from the calculation:
- Formation enthalpy at 0 K: 0.351 eV/atom
- E: -2.472 eV/atom
- DOS(E_F): 0.5690 states/eV per atom
- Theoretical density: 2.8 g cm⁻³

---

14.
VASP calculation (PBE) on an optimized crystal structure of K3CaCu.

Lattice parameters (Å, degrees): 6.462 6.462 6.462 90.00 90.00 90.00
Space group Pm-3m (No. 221)
One atom of each set of equivalent atoms:
K  0.000  0.000  0.500 x3
Ca  0.500  0.500  0.500 x1
Cu  0.000  0.000  0.000 x1

Values from the calculation:
- Formation enthalpy at 0 K: 0.358 eV/atom
- E: -1.520 eV/atom
- DOS(E_F): 1.1276 states/eV per atom
- Theoretical density: 1.4 g cm⁻³

---

15.
VASP calculation (PBE) on an optimized crystal structure of K2CaCu.

Lattice parameters (Å, degrees): 4.964 4.964 6.250 90.00 90.00 90.00
Space group P4/mmm (No. 123)
One atom of each set of equivalent atoms:
K  0.000  0.500  0.000 x2
Ca  0.000  0.000  0.500 x1
Cu  0.500  0.500  0.500 x1

Values from the calculation:
- Formation enthalpy at 0 K: 0.373 eV/atom
- E: -1.700 eV/atom
- DOS(E_F): 0.4852 states/eV per atom
- Theoretical density: 2.0 g cm⁻³

---

16.
VASP calculation (PBE) on an optimized crystal structure of K2Ca2Cu.

Lattice parameters (Å, degrees): 7.884 7.884 7.222 90.00 90.00 90.00
Space group P4/mbm (No. 127)
One atom of each set of equivalent atoms:
K  0.180  0.320  0.000 x4
Ca  0.175  0.675  0.500 x4
Cu  0.000  0.000  0.500 x2

Values from the calculation:
- Formation enthalpy at 0 K: 0.218 eV/atom
- E: -1.841 eV/atom
- DOS(E_F): 1.0454 states/eV per atom
- Theoretical density: 1.6 g cm⁻³

---

17.
VASP calculation (PBE) on an optimized crystal structure of KCa2LaCu.

Lattice parameters (Å, degrees): 5.942 5.942 5.622 90.00 90.00 90.00
Space group P4/mmm (No. 123)
One atom of each set of equivalent atoms:
K  0.000  0.000  0.000 x1
Ca  0.000  0.500  0.500 x2
La  0.500  0.500  0.000 x1
Cu  0.500  0.500  0.500 x1

Values from the calculation:
- Formation enthalpy at 0 K: 0.114 eV/atom
- E: -2.711 eV/atom
- DOS(E_F): 1.1868 states/eV per atom
- Theoretical density: 2.7 g cm⁻³

---

18.
VASP calculation (PBE) on an optimized crystal structure of KLiCa2Cu.

Lattice parameters (Å, degrees): 5.708 5.708 5.480 90.00 90.00 90.00
Space group P4/mmm (No. 123)
One atom of each set of equivalent atoms:
K  0.000  0.000  0.000 x1
Li  0.500  0.500  0.000 x1
Ca  0.000  0.500  0.500 x2
Cu  0.500  0.500  0.500 x1

Values from the calculation:
- Formation enthalpy at 0 K: 0.115 eV/atom
- E: -2.107 eV/atom
- DOS(E_F): 0.6055 states/eV per atom
- Theoretical density: 1.8 g cm⁻³

---

19.
VASP calculation (PBE) on an optimized crystal structure of KLi2CaCu.

Lattice parameters (Å, degrees): 5.356 5.356 5.521 90.00 90.00 90.00
Space group P4/mmm (No. 123)
One atom of each set of equivalent atoms:
K  0.000  0.000  0.000 x1
Li  0.000  0.500  0.500 x2
Ca  0.500  0.500  0.000 x1
Cu  0.500  0.500  0.500 x1

Values from the calculation:
- Formation enthalpy at 0 K: 0.171 eV/atom
- E: -2.033 eV/atom
- DOS(E_F): 0.7171 states/eV per atom
- Theoretical density: 1.6 g cm⁻³

---

20.
VASP calculation (PBE) on an optimized crystal structure of KCaMg2Cu.

Lattice parameters (Å, degrees): 5.264 5.264 5.561 90.00 90.00 90.00
Space group P4/mmm (No. 123)
One atom of each set of equivalent atoms:
K  0.000  0.000  0.000 x1
Ca  0.500  0.500  0.000 x1
Mg  0.000  0.500  0.500 x2
Cu  0.500  0.500  0.500 x1

Values from the calculation:
- Formation enthalpy at 0 K: 0.097 eV/atom
- E: -1.980 eV/atom
- DOS(E_F): 0.5987 states/eV per atom
- Theoretical density: 2.1 g cm⁻³

---

21.
VASP calculation (PBE) on an optimized crystal structure of KNaCa2Cu.

Lattice parameters (Å, degrees): 5.729 5.729 6.009 90.00 90.00 90.00
Space group P4/mmm (No. 123)
One atom of each set of equivalent atoms:
K  0.000  0.000  0.000 x1
Na  0.500  0.500  0.000 x1
Ca  0.000  0.500  0.500 x2
Cu  0.500  0.500  0.500 x1

Values from the calculation:
- Formation enthalpy at 0 K: 0.112 eV/atom
- E: -1.991 eV/atom
- DOS(E_F): 0.7334 states/eV per atom
- Theoretical density: 1.7 g cm⁻³

---

22.
VASP calculation (PBE) on an optimized crystal structure of KNaCa2Cu.

Lattice parameters (Å, degrees): 5.714 5.714 6.348 90.00 90.00 90.00
Space group P4/mmm (No. 123)
One atom of each set of equivalent atoms:
K  0.000  0.000  0.000 x1
Na  0.500  0.500  0.000 x1
Ca  0.000  0.500  0.500 x2
Cu  0.000  0.000  0.500 x1

Values from the calculation:
- Formation enthalpy at 0 K: 0.144 eV/atom
- E: -1.960 eV/atom
- DOS(E_F): 0.7596 states/eV per atom
- Theoretical density: 1.6 g cm⁻³

---

23.
VASP calculation (PBE) on an optimized crystal structure of KNa2CaCu.

Lattice parameters (Å, degrees): 5.865 5.865 5.640 90.00 90.00 90.00
Space group P4/mmm (No. 123)
One atom of each set of equivalent atoms:
K  0.000  0.000  0.000 x1
Na  0.000  0.500  0.500 x2
Ca  0.500  0.500  0.000 x1
Cu  0.500  0.500  0.500 x1

Values from the calculation:
- Formation enthalpy at 0 K: 0.166 eV/atom
- E: -1.801 eV/atom
- DOS(E_F): 0.6350 states/eV per atom
- Theoretical density: 1.6 g cm⁻³

---

24.
VASP calculation (PBE) on an optimized crystal structure of KCaCu2Pd.

Lattice parameters (Å, degrees): 5.479 5.479 5.209 90.00 90.00 90.00
Space group P4/mmm (No. 123)
One atom of each set of equivalent atoms:
K  0.000  0.000  0.000 x1
Ca  0.500  0.500  0.500 x1
Cu  0.000  0.500  0.500 x2
Pd  0.500  0.500  0.000 x1

Values from the calculation:
- Formation enthalpy at 0 K: 0.613 eV/atom
- E: -2.684 eV/atom
- DOS(E_F): 0.5316 states/eV per atom
- Theoretical density: 3.3 g cm⁻³

---

25.
VASP calculation (PBE) on an optimized crystal structure of KCa2CuRh.

Lattice parameters (Å, degrees): 5.470 5.470 5.087 90.00 90.00 90.00
Space group P4/mmm (No. 123)
One atom of each set of equivalent atoms:
K  0.000  0.000  0.000 x1
Ca  0.000  0.500  0.500 x2
Cu  0.500  0.500  0.000 x1
Rh  0.500  0.500  0.500 x1

Values from the calculation:
- Formation enthalpy at 0 K: 0.042 eV/atom
- E: -3.268 eV/atom
- DOS(E_F): 0.3587 states/eV per atom
- Theoretical density: 3.1 g cm⁻³

---

26.
VASP calculation (PBE) on an optimized crystal structure of KCaCuS2.

Lattice parameters (Å, degrees): 7.539 14.615 5.176 90.00 90.00 90.00
Space group Cmme (No. 67)
One atom of each set of equivalent atoms:
K  0.000  0.250  0.225 x4
Ca  0.250  0.000  0.500 x4
Cu  0.000  0.000  0.000 x4
S  0.000  0.112  0.732 x8

Values from the calculation:
- E: -4.270 eV/atom
- Formation energy without anion corrections: -113.87 kJ per mole of atoms
- DOS(E_F): 0.0000 states/eV per atom
- Theoretical density: 2.4 g cm⁻³

---

27.
VASP calculation (PBE) on an optimized crystal structure of KCa2ScCu.

Lattice parameters (Å, degrees): 5.644 5.644 5.918 90.00 90.00 90.00
Space group P4/mmm (No. 123)
One atom of each set of equivalent atoms:
K  0.000  0.000  0.000 x1
Ca  0.000  0.500  0.500 x2
Sc  0.500  0.500  0.000 x1
Cu  0.000  0.000  0.500 x1

Values from the calculation:
- Formation enthalpy at 0 K: 0.498 eV/atom
- E: -2.607 eV/atom
- DOS(E_F): 1.6149 states/eV per atom
- Theoretical density: 2.0 g cm⁻³

---

28.
VASP calculation (PBE) on an optimized crystal structure of KCaCuSe2.

Lattice parameters (Å, degrees): 5.539 5.539 5.452 90.00 90.00 90.00
Space group P4/mmm (No. 123)
One atom of each set of equivalent atoms:
K  0.000  0.000  0.000 x1
Ca  0.500  0.500  0.500 x1
Cu  0.500  0.500  0.000 x1
Se  0.000  0.500  0.500 x2

Values from the calculation:
- E: -3.127 eV/atom
- Formation energy without anion corrections: -28.41 kJ per mole of atoms
- DOS(E_F): 1.3021 states/eV per atom
- Theoretical density: 3.0 g cm⁻³